Density functional theory data (PBE-GGA) for an optimized crystal structure of CoAu2.

Geometry as POSCAR:
```
CoAu2
1.0
2.859 0.000 0.000
-1.429 2.476 0.000
0.000 0.000 6.789
Co Au
1 2
Cartesian
0.000 0.000 0.000
0.000 1.651 4.659
1.429 0.825 2.131
```

Computed properties:
Its total magnetization is 1.8 μB per formula unit. The value obtained for the electronic total energy is -4.326 eV/atom.

=====

Density functional theory data (PBE-GGA) for an optimized crystal structure of Be2RuPb.

Geometry as POSCAR:
```
Be2RuPb
1.0
3.338 -1.927 0.000
3.338 1.927 0.000
-2.215 0.000 4.743
Be Ru Pb
2 1 1
Cartesian
0.000 0.000 0.000
4.453 0.000 0.168
0.011 0.000 4.196
2.232 0.000 2.266
```

Computed properties:
Its total magnetization is 0.0 μB per formula unit. The value obtained for the electronic total energy is -5.019 eV/atom. The value obtained for the energy above the most stable polymorph in this dataset is 0.0000 eV/atom.

=====

What did we get for ΔH_f (0 K)? Answer: 0.23, 0.09 eV/atom, in the order shown.